VASP calculation (GGA-PBE) on a geometry-optimized Sr2ZnTc structure.

Computed properties:
M_tot, Bohr magnetons per cell: 0.77
ΔE_f, eV/atom: 0.339
Space group: P4mm, No. 99
Total energy, eV/atom: -3.412

Lattice parameters (Å, degrees): 3.5837 3.5837 8.8207 90.00 90.00 90.00
Last column: nearest neighbours and their distance in Å.
Positions (direct):
Sr: 0.0000 0.0000 0.0000  1 Tc 2.96
Sr: 0.5000 0.5000 0.4137  1 Zn 2.97
Zn: 0.5000 0.5000 0.7502  4 Tc 2.65
Tc: 0.0000 0.0000 0.6639  4 Zn 2.65